# 1
## LiW2Au (PBEsol)

Data for an optimized crystal structure of LiW2Au.

a b c (Å): 4.039 4.675 4.039
angles (deg): 64.40 90.00 115.60
Fractional positions:
1 Au 0.500 0.000 0.500
2 Li 0.750 0.500 0.750
3 W 0.000 0.000 0.000
4 W 0.250 0.500 0.250

Summary:
Uncorrected energy = -7.920 eV/atom
Space-group type = I-4m2
Spin magnetization = 0.0 μB/f.u.
Mass density = 15.72 Mg/m³
Crystal system = tetragonal



# 2
## Li2Y2Au (PBEsol)

Data for an optimized crystal structure of Li2Y2Au.

a b c (Å): 3.573 3.573 9.560
angles (deg): 100.77 100.77 90.00
Fractional positions:
1 Y 0.408 0.408 0.817
2 Y 0.592 0.592 0.183
3 Au 0.000 0.000 0.000
4 Li 0.250 0.750 0.500
5 Li 0.750 0.250 0.500

Summary:
Uncorrected energy = -4.473 eV/atom
Space-group type = I4/mmm
Spin magnetization = 0.0 μB/f.u.
Mass density = 5.48 Mg/m³
Crystal system = tetragonal



# 3
## Li2YAu (PBEsol)

Data for an optimized crystal structure of Li2YAu.

a b c (Å): 3.486 4.688 5.069
angles (deg): 90.00 90.00 92.95
Fractional positions:
1 Au 0.500 0.000 0.500
2 Li 0.318 0.214 0.000
3 Li 0.682 0.786 0.000
4 Y 0.000 0.500 0.500

Summary:
Uncorrected energy = -3.958 eV/atom
Space-group type = P2/m
Spin magnetization = 0.0 μB/f.u.
Mass density = 6.02 Mg/m³
Crystal system = monoclinic



# 4
## LiY2Au (PBEsol)

Data for an optimized crystal structure of LiY2Au.

a b c (Å): 3.716 4.709 5.630
angles (deg): 90.00 109.24 90.00
Fractional positions:
1 Y 0.020 0.000 0.915
2 Y 0.730 0.500 0.335
3 Au 0.306 0.000 0.486
4 Li 0.444 0.500 0.764

Summary:
Uncorrected energy = -5.273 eV/atom
Space-group type = Amm2
Spin magnetization = 0.0 μB/f.u.
Mass density = 6.81 Mg/m³
Crystal system = orthorhombic



# 5
## Li2YAu (PBEsol)

Data for an optimized crystal structure of Li2YAu.

a b c (Å): 3.719 3.968 6.096
angles (deg): 90.00 107.36 90.00
Fractional positions:
1 Au 0.061 0.500 0.746
2 Li 0.200 0.000 0.030
3 Li 0.763 0.500 0.151
4 Y 0.477 0.000 0.573

Summary:
Uncorrected energy = -4.009 eV/atom
Space-group type = Pm
Spin magnetization = 0.0 μB/f.u.
Mass density = 5.80 Mg/m³
Crystal system = monoclinic



# 6
## Li4YAu (PBEsol)

Data for an optimized crystal structure of Li4YAu.

a b c (Å): 5.215 5.215 5.215
angles (deg): 60.00 60.00 60.00
Fractional positions:
1 Au 0.000 0.000 0.000
2 Li 0.885 0.372 0.372
3 Li 0.372 0.372 0.372
4 Li 0.372 0.372 0.885
5 Li 0.372 0.885 0.372
6 Y 0.750 0.750 0.750

Summary:
Uncorrected energy = -3.258 eV/atom
Space-group type = F-43m
Spin magnetization = 0.0 μB/f.u.
Mass density = 5.19 Mg/m³
Crystal system = cubic



# 7
## Li2YAu (PBEsol)

Data for an optimized crystal structure of Li2YAu.

a b c (Å): 3.457 4.764 5.724
angles (deg): 114.59 107.58 90.00
Fractional positions:
1 Y 0.000 0.500 0.000
2 Au 0.500 0.000 0.000
3 Li 0.784 0.784 0.568
4 Li 0.216 0.216 0.432

Summary:
Uncorrected energy = -4.016 eV/atom
Space-group type = Immm
Spin magnetization = 0.0 μB/f.u.
Mass density = 6.16 Mg/m³
Crystal system = orthorhombic



# 8
## Li2YAu (PBEsol)

Data for an optimized crystal structure of Li2YAu.

a b c (Å): 4.777 4.777 4.777
angles (deg): 60.00 60.00 60.00
Fractional positions:
1 Y 0.250 0.250 0.250
2 Au 0.500 0.500 0.500
3 Li 0.000 0.000 0.000
4 Li 0.750 0.750 0.750

Summary:
Uncorrected energy = -4.024 eV/atom
Space-group type = F-43m
Spin magnetization = 0.0 μB/f.u.
Mass density = 6.46 Mg/m³
Crystal system = cubic



# 9
## Li2YAu (PBEsol)

Data for an optimized crystal structure of Li2YAu.

a b c (Å): 3.509 3.509 6.732
angles (deg): 90.00 90.00 90.00
Fractional positions:
1 Y 0.000 0.000 0.545
2 Au 0.500 0.500 0.777
3 Li 0.000 0.000 0.991
4 Li 0.500 0.500 0.186

Summary:
Uncorrected energy = -4.027 eV/atom
Space-group type = P4mm
Spin magnetization = 0.0 μB/f.u.
Mass density = 6.00 Mg/m³
Crystal system = tetragonal



# 10
## LiY2Au (PBEsol)

Data for an optimized crystal structure of LiY2Au.

a b c (Å): 3.663 4.958 4.958
angles (deg): 90.00 90.00 90.00
Fractional positions:
1 Y 0.000 0.000 0.500
2 Y 0.000 0.500 0.000
3 Au 0.500 0.500 0.500
4 Li 0.500 0.000 0.000

Summary:
Uncorrected energy = -5.311 eV/atom
Space-group type = P4/mmm
Spin magnetization = 0.0 μB/f.u.
Mass density = 7.04 Mg/m³
Crystal system = tetragonal



# 11
## LiZnAu2 (PBEsol)

Data for an optimized crystal structure of LiZnAu2.

a b c (Å): 2.827 2.827 9.217
angles (deg): 81.18 81.18 60.00
Fractional positions:
1 Au 0.996 0.996 0.012
2 Au 0.756 0.756 0.732
3 Li 0.500 0.500 0.499
4 Zn 0.248 0.248 0.256

Summary:
Uncorrected energy = -3.035 eV/atom
Space-group type = R3m
Spin magnetization = 0.0 μB/f.u.
Mass density = 12.33 Mg/m³
Crystal system = trigonal



# 12
## LiZnAu2 (PBEsol)

Data for an optimized crystal structure of LiZnAu2.

a b c (Å): 2.794 4.027 5.416
angles (deg): 90.00 90.00 90.00
Fractional positions:
1 Zn 0.500 0.500 0.762
2 Au 0.000 0.000 0.971
3 Au 0.500 0.500 0.282
4 Li 0.000 0.000 0.485

Summary:
Uncorrected energy = -3.203 eV/atom
Space-group type = Pmm2
Spin magnetization = 0.0 μB/f.u.
Mass density = 12.71 Mg/m³
Crystal system = orthorhombic